(1)
# LiCeTmOs (PBE, optimized geometry)
# space group: F-43m, No. 216
data_LiCeTmOs
_chemical_formula_sum 'Li1 Ce1 Tm1 Os1'
_space_group_name_H-M_alt 'P 1'
_space_group_IT_number 1
_cell_length_a 4.901
_cell_length_b 4.901
_cell_length_c 4.901
_cell_angle_alpha 60.00
_cell_angle_beta 60.00
_cell_angle_gamma 60.00
loop_
_space_group_symop_operation_xyz
'x,y,z'
loop_
_atom_site_label
_atom_site_fract_x
_atom_site_fract_y
_atom_site_fract_z
Li1 0.000 0.000 0.000
Ce1 0.750 0.750 0.750
Tm1 0.250 0.250 0.250
Os1 0.500 0.500 0.500

(2)
# Ce2DyCr2C4 (PBE, optimized geometry)
# space group: C2/m, No. 12
data_Ce2DyCr2C4
_chemical_formula_sum 'Ce2 Dy1 Cr2 C4'
_space_group_name_H-M_alt 'P 1'
_space_group_IT_number 1
_cell_length_a 6.812
_cell_length_b 6.812
_cell_length_c 6.027
_cell_angle_alpha 108.34
_cell_angle_beta 108.34
_cell_angle_gamma 28.87
loop_
_space_group_symop_operation_xyz
'x,y,z'
loop_
_atom_site_label
_atom_site_fract_x
_atom_site_fract_y
_atom_site_fract_z
Ce1 0.132 0.132 0.036
Ce2 0.868 0.868 0.964
Dy1 0.000 0.000 0.500
Cr1 0.318 0.318 0.499
Cr2 0.682 0.682 0.501
C1 0.219 0.219 0.692
C2 0.449 0.449 0.740
C3 0.551 0.551 0.260
C4 0.781 0.781 0.308

(3)
# Ga2CoIrPt (PBE, optimized geometry)
# space group: P4/mmm, No. 123
data_Ga2CoIrPt
_chemical_formula_sum 'Ga2 Co1 Ir1 Pt1'
_space_group_name_H-M_alt 'P 1'
_space_group_IT_number 1
_cell_length_a 4.374
_cell_length_b 4.374
_cell_length_c 4.457
_cell_angle_alpha 90.00
_cell_angle_beta 90.00
_cell_angle_gamma 90.00
loop_
_space_group_symop_operation_xyz
'x,y,z'
loop_
_atom_site_label
_atom_site_fract_x
_atom_site_fract_y
_atom_site_fract_z
Ga1 0.000 0.500 0.000
Ga2 0.500 0.000 0.000
Co1 0.000 0.000 0.000
Ir1 0.000 0.000 0.500
Pt1 0.500 0.500 0.500

Record-wise raw total energy values, in eV/atom: -6.063, -8.207, -5.082
Record-wise formation energy from the elements values, in eV/atom: -0.1753, -0.1387, 0.5301
Record-wise total magnetization values, in μB/cell: 0.239, 0.000, 0.000